1.
# La2YBr, optimized geometry, DFT PBE
# - Energy relative to the elements, uncorrected: -0.45 eV/atom
# - Symmetry: P4mm, No. 99
data_La2YBr
_chemical_formula_sum 'La2 Y1 Br1'
_cell_length_a 3.621
_cell_length_b 3.621
_cell_length_c 9.762
_cell_angle_alpha 90.00
_cell_angle_beta 90.00
_cell_angle_gamma 90.00
_symmetry_space_group_name_H-M 'P 1'
_symmetry_Int_Tables_number 1
loop_
_symmetry_equiv_pos_as_xyz
'x,y,z'
loop_
_atom_site_label
_atom_site_type_symbol
_atom_site_fract_x
_atom_site_fract_y
_atom_site_fract_z
La1 La 0.000 0.000 0.000
La2 La 0.500 0.500 0.271
Y1 Y 0.000 0.000 0.529
Br1 Br 0.500 0.500 0.748

***

2.
# LaY2Br, optimized geometry, DFT PBE
# - Energy relative to the elements, uncorrected: -0.31 eV/atom
# - Symmetry: I-42d, No. 122
data_LaY2Br
_chemical_formula_sum 'La2 Y4 Br2'
_cell_length_a 7.161
_cell_length_b 7.161
_cell_length_c 7.161
_cell_angle_alpha 100.99
_cell_angle_beta 100.99
_cell_angle_gamma 128.22
_symmetry_space_group_name_H-M 'P 1'
_symmetry_Int_Tables_number 1
loop_
_symmetry_equiv_pos_as_xyz
'x,y,z'
loop_
_atom_site_label
_atom_site_type_symbol
_atom_site_fract_x
_atom_site_fract_y
_atom_site_fract_z
La1 La 0.000 0.000 0.000
La2 La 0.750 0.250 0.500
Y1 Y 0.207 0.625 0.082
Y2 Y 0.375 0.457 0.582
Y3 Y 0.543 0.125 0.918
Y4 Y 0.875 0.793 0.418
Br1 Br 0.250 0.750 0.500
Br2 Br 0.500 0.500 0.000

***

3.
# LaY2Br, optimized geometry, DFT PBE
# - Energy relative to the elements, uncorrected: -0.40 eV/atom
# - Symmetry: P4/mmm, No. 123
data_LaY2Br
_chemical_formula_sum 'La1 Y2 Br1'
_cell_length_a 3.588
_cell_length_b 3.588
_cell_length_c 9.672
_cell_angle_alpha 90.00
_cell_angle_beta 90.00
_cell_angle_gamma 90.00
_symmetry_space_group_name_H-M 'P 1'
_symmetry_Int_Tables_number 1
loop_
_symmetry_equiv_pos_as_xyz
'x,y,z'
loop_
_atom_site_label
_atom_site_type_symbol
_atom_site_fract_x
_atom_site_fract_y
_atom_site_fract_z
La1 La 0.000 0.000 0.000
Y1 Y 0.500 0.500 0.264
Y2 Y 0.500 0.500 0.736
Br1 Br 0.000 0.000 0.500

***

4.
# LaY2Br, optimized geometry, DFT PBE
# - Energy relative to the elements, uncorrected: -0.46 eV/atom
# - Symmetry: Cmm2, No. 35
data_LaY2Br
_chemical_formula_sum 'La1 Y2 Br1'
_cell_length_a 3.616
_cell_length_b 3.616
_cell_length_c 10.567
_cell_angle_alpha 90.00
_cell_angle_beta 90.00
_cell_angle_gamma 113.48
_symmetry_space_group_name_H-M 'P 1'
_symmetry_Int_Tables_number 1
loop_
_symmetry_equiv_pos_as_xyz
'x,y,z'
loop_
_atom_site_label
_atom_site_type_symbol
_atom_site_fract_x
_atom_site_fract_y
_atom_site_fract_z
La1 La 0.000 0.000 0.000
Y1 Y 0.000 0.000 0.537
Y2 Y 0.500 0.500 0.279
Br1 Br 0.500 0.500 0.754

***

5.
# La2YBr, optimized geometry, DFT PBE
# - Energy relative to the elements, uncorrected: -0.58 eV/atom
# - Symmetry: R3m, No. 160
data_La2YBr
_chemical_formula_sum 'La2 Y1 Br1'
_cell_length_a 10.738
_cell_length_b 10.738
_cell_length_c 10.738
_cell_angle_alpha 20.13
_cell_angle_beta 20.13
_cell_angle_gamma 20.13
_symmetry_space_group_name_H-M 'P 1'
_symmetry_Int_Tables_number 1
loop_
_symmetry_equiv_pos_as_xyz
'x,y,z'
loop_
_atom_site_label
_atom_site_type_symbol
_atom_site_fract_x
_atom_site_fract_y
_atom_site_fract_z
La1 La 0.000 0.000 0.000
La2 La 0.239 0.239 0.239
Y1 Y 0.483 0.483 0.483
Br1 Br 0.746 0.746 0.746

***

6.
# LaYZnBr2, optimized geometry, DFT PBE
# - Energy relative to the elements, uncorrected: -0.29 eV/atom
# - Symmetry: P4/mmm, No. 123
data_LaYZnBr2
_chemical_formula_sum 'La1 Y1 Zn1 Br2'
_cell_length_a 5.652
_cell_length_b 5.652
_cell_length_c 6.049
_cell_angle_alpha 90.00
_cell_angle_beta 90.00
_cell_angle_gamma 90.00
_symmetry_space_group_name_H-M 'P 1'
_symmetry_Int_Tables_number 1
loop_
_symmetry_equiv_pos_as_xyz
'x,y,z'
loop_
_atom_site_label
_atom_site_type_symbol
_atom_site_fract_x
_atom_site_fract_y
_atom_site_fract_z
La1 La 0.000 0.000 0.000
Y1 Y 0.500 0.500 0.500
Zn1 Zn 0.000 0.000 0.500
Br1 Br 0.000 0.500 0.000
Br2 Br 0.500 0.000 0.000

***

7.
# LaZn2Br, optimized geometry, DFT PBE
# - Energy relative to the elements, uncorrected: -0.48 eV/atom
# - Symmetry: P4/mmm, No. 123
data_LaZn2Br
_chemical_formula_sum 'La1 Zn2 Br1'
_cell_length_a 4.292
_cell_length_b 4.292
_cell_length_c 5.168
_cell_angle_alpha 90.00
_cell_angle_beta 90.00
_cell_angle_gamma 90.00
_symmetry_space_group_name_H-M 'P 1'
_symmetry_Int_Tables_number 1
loop_
_symmetry_equiv_pos_as_xyz
'x,y,z'
loop_
_atom_site_label
_atom_site_type_symbol
_atom_site_fract_x
_atom_site_fract_y
_atom_site_fract_z
La1 La 0.000 0.000 0.000
Zn1 Zn 0.000 0.500 0.500
Zn2 Zn 0.500 0.000 0.500
Br1 Br 0.500 0.500 0.000

***

8.
# LaZn2Br, optimized geometry, DFT PBE
# - Energy relative to the elements, uncorrected: -0.15 eV/atom
# - Symmetry: Fm-3m, No. 225
data_LaZn2Br
_chemical_formula_sum 'La1 Zn2 Br1'
_cell_length_a 5.235
_cell_length_b 5.235
_cell_length_c 5.235
_cell_angle_alpha 60.00
_cell_angle_beta 60.00
_cell_angle_gamma 60.00
_symmetry_space_group_name_H-M 'P 1'
_symmetry_Int_Tables_number 1
loop_
_symmetry_equiv_pos_as_xyz
'x,y,z'
loop_
_atom_site_label
_atom_site_type_symbol
_atom_site_fract_x
_atom_site_fract_y
_atom_site_fract_z
La1 La 0.000 0.000 0.000
Zn1 Zn 0.250 0.250 0.250
Zn2 Zn 0.750 0.750 0.750
Br1 Br 0.500 0.500 0.500

***

9.
# La2ZnBr, optimized geometry, DFT PBE
# - Energy relative to the elements, uncorrected: -0.74 eV/atom
# - Symmetry: R3m, No. 160
data_La2ZnBr
_chemical_formula_sum 'La2 Zn1 Br1'
_cell_length_a 9.194
_cell_length_b 9.194
_cell_length_c 9.194
_cell_angle_alpha 24.64
_cell_angle_beta 24.64
_cell_angle_gamma 24.64
_symmetry_space_group_name_H-M 'P 1'
_symmetry_Int_Tables_number 1
loop_
_symmetry_equiv_pos_as_xyz
'x,y,z'
loop_
_atom_site_label
_atom_site_type_symbol
_atom_site_fract_x
_atom_site_fract_y
_atom_site_fract_z
La1 La 0.000 0.000 0.000
La2 La 0.175 0.175 0.175
Zn1 Zn 0.588 0.588 0.588
Br1 Br 0.421 0.421 0.421

***

10.
# La2ZnBr, optimized geometry, DFT PBE
# - Energy relative to the elements, uncorrected: -0.58 eV/atom
# - Symmetry: Fm-3m, No. 225
data_La2ZnBr
_chemical_formula_sum 'La2 Zn1 Br1'
_cell_length_a 5.387
_cell_length_b 5.387
_cell_length_c 5.387
_cell_angle_alpha 60.00
_cell_angle_beta 60.00
_cell_angle_gamma 60.00
_symmetry_space_group_name_H-M 'P 1'
_symmetry_Int_Tables_number 1
loop_
_symmetry_equiv_pos_as_xyz
'x,y,z'
loop_
_atom_site_label
_atom_site_type_symbol
_atom_site_fract_x
_atom_site_fract_y
_atom_site_fract_z
La1 La 0.250 0.250 0.250
La2 La 0.750 0.750 0.750
Zn1 Zn 0.000 0.000 0.000
Br1 Br 0.500 0.500 0.500

***

11.
# LaZn2Br, optimized geometry, DFT PBE
# - Energy relative to the elements, uncorrected: -0.35 eV/atom
# - Symmetry: P4/mmm, No. 123
data_LaZn2Br
_chemical_formula_sum 'La1 Zn2 Br1'
_cell_length_a 4.281
_cell_length_b 4.281
_cell_length_c 5.954
_cell_angle_alpha 90.00
_cell_angle_beta 90.00
_cell_angle_gamma 90.00
_symmetry_space_group_name_H-M 'P 1'
_symmetry_Int_Tables_number 1
loop_
_symmetry_equiv_pos_as_xyz
'x,y,z'
loop_
_atom_site_label
_atom_site_type_symbol
_atom_site_fract_x
_atom_site_fract_y
_atom_site_fract_z
La1 La 0.000 0.000 0.000
Zn1 Zn 0.500 0.500 0.231
Zn2 Zn 0.500 0.500 0.769
Br1 Br 0.000 0.000 0.500

***

12.
# LaZn2Br, optimized geometry, DFT PBE
# - Energy relative to the elements, uncorrected: -0.19 eV/atom
# - Symmetry: Cmmm, No. 65
data_LaZn2Br
_chemical_formula_sum 'La1 Zn2 Br1'
_cell_length_a 3.602
_cell_length_b 3.602
_cell_length_c 8.767
_cell_angle_alpha 90.00
_cell_angle_beta 90.00
_cell_angle_gamma 111.57
_symmetry_space_group_name_H-M 'P 1'
_symmetry_Int_Tables_number 1
loop_
_symmetry_equiv_pos_as_xyz
'x,y,z'
loop_
_atom_site_label
_atom_site_type_symbol
_atom_site_fract_x
_atom_site_fract_y
_atom_site_fract_z
La1 La 0.000 0.000 0.000
Zn1 Zn 0.500 0.500 0.274
Zn2 Zn 0.500 0.500 0.726
Br1 Br 0.000 0.000 0.500

***

13.
# La2ZnBr, optimized geometry, DFT PBE
# - Energy relative to the elements, uncorrected: -0.32 eV/atom
# - Symmetry: I-42d, No. 122
data_La2ZnBr
_chemical_formula_sum 'La4 Zn2 Br2'
_cell_length_a 8.956
_cell_length_b 8.956
_cell_length_c 8.956
_cell_angle_alpha 138.75
_cell_angle_beta 138.75
_cell_angle_gamma 59.76
_symmetry_space_group_name_H-M 'P 1'
_symmetry_Int_Tables_number 1
loop_
_symmetry_equiv_pos_as_xyz
'x,y,z'
loop_
_atom_site_label
_atom_site_type_symbol
_atom_site_fract_x
_atom_site_fract_y
_atom_site_fract_z
La1 La 0.116 0.625 0.991
La2 La 0.375 0.366 0.491
La3 La 0.634 0.125 0.009
La4 La 0.875 0.884 0.509
Zn1 Zn 0.000 0.000 0.000
Zn2 Zn 0.750 0.250 0.500
Br1 Br 0.250 0.750 0.500
Br2 Br 0.500 0.500 0.000

***

14.
# LaZn2Br, optimized geometry, DFT PBE
# - Energy relative to the elements, uncorrected: -0.33 eV/atom
# - Symmetry: I-42d, No. 122
data_LaZn2Br
_chemical_formula_sum 'La2 Zn4 Br2'
_cell_length_a 6.779
_cell_length_b 6.779
_cell_length_c 6.779
_cell_angle_alpha 100.79
_cell_angle_beta 100.79
_cell_angle_gamma 128.73
_symmetry_space_group_name_H-M 'P 1'
_symmetry_Int_Tables_number 1
loop_
_symmetry_equiv_pos_as_xyz
'x,y,z'
loop_
_atom_site_label
_atom_site_type_symbol
_atom_site_fract_x
_atom_site_fract_y
_atom_site_fract_z
La1 La 0.000 0.000 0.000
La2 La 0.750 0.250 0.500
Zn1 Zn 0.130 0.625 0.005
Zn2 Zn 0.375 0.380 0.505
Zn3 Zn 0.620 0.125 0.995
Zn4 Zn 0.875 0.870 0.495
Br1 Br 0.250 0.750 0.500
Br2 Br 0.500 0.500 0.000

***

15.
# La2ZnBr, optimized geometry, DFT PBE
# - Energy relative to the elements, uncorrected: -0.65 eV/atom
# - Symmetry: Imm2, No. 44
data_La2ZnBr
_chemical_formula_sum 'La2 Zn1 Br1'
_cell_length_a 8.393
_cell_length_b 8.393
_cell_length_c 8.393
_cell_angle_alpha 153.29
_cell_angle_beta 152.76
_cell_angle_gamma 38.52
_symmetry_space_group_name_H-M 'P 1'
_symmetry_Int_Tables_number 1
loop_
_symmetry_equiv_pos_as_xyz
'x,y,z'
loop_
_atom_site_label
_atom_site_type_symbol
_atom_site_fract_x
_atom_site_fract_y
_atom_site_fract_z
La1 La 0.000 0.000 0.000
La2 La 0.761 0.261 0.500
Zn1 Zn 0.349 0.849 0.500
Br1 Br 0.599 0.599 0.000

***

16.
# LaZn2Br, optimized geometry, DFT PBE
# - Energy relative to the elements, uncorrected: -0.20 eV/atom
# - Symmetry: R-3m, No. 166
data_LaZn2Br
_chemical_formula_sum 'La1 Zn2 Br1'
_cell_length_a 9.313
_cell_length_b 9.313
_cell_length_c 9.313
_cell_angle_alpha 22.74
_cell_angle_beta 22.74
_cell_angle_gamma 22.74
_symmetry_space_group_name_H-M 'P 1'
_symmetry_Int_Tables_number 1
loop_
_symmetry_equiv_pos_as_xyz
'x,y,z'
loop_
_atom_site_label
_atom_site_type_symbol
_atom_site_fract_x
_atom_site_fract_y
_atom_site_fract_z
La1 La 0.000 0.000 0.000
Zn1 Zn 0.241 0.241 0.241
Zn2 Zn 0.759 0.759 0.759
Br1 Br 0.500 0.500 0.500

***

17.
# La2ZnBr, optimized geometry, DFT PBE
# - Energy relative to the elements, uncorrected: -0.67 eV/atom
# - Symmetry: C2/m, No. 12
data_La2ZnBr
_chemical_formula_sum 'La2 Zn1 Br1'
_cell_length_a 5.593
_cell_length_b 5.593
_cell_length_c 3.486
_cell_angle_alpha 91.85
_cell_angle_beta 91.85
_cell_angle_gamma 89.97
_symmetry_space_group_name_H-M 'P 1'
_symmetry_Int_Tables_number 1
loop_
_symmetry_equiv_pos_as_xyz
'x,y,z'
loop_
_atom_site_label
_atom_site_type_symbol
_atom_site_fract_x
_atom_site_fract_y
_atom_site_fract_z
La1 La 0.000 0.500 0.000
La2 La 0.500 0.000 0.000
Zn1 Zn 0.000 0.000 0.500
Br1 Br 0.500 0.500 0.500

***

18.
# LaZn2Br, optimized geometry, DFT PBE
# - Energy relative to the elements, uncorrected: -0.54 eV/atom
# - Symmetry: Pm, No. 6
data_LaZn2Br
_chemical_formula_sum 'La1 Zn2 Br1'
_cell_length_a 3.903
_cell_length_b 3.902
_cell_length_c 7.082
_cell_angle_alpha 90.00
_cell_angle_beta 90.57
_cell_angle_gamma 90.00
_symmetry_space_group_name_H-M 'P 1'
_symmetry_Int_Tables_number 1
loop_
_symmetry_equiv_pos_as_xyz
'x,y,z'
loop_
_atom_site_label
_atom_site_type_symbol
_atom_site_fract_x
_atom_site_fract_y
_atom_site_fract_z
La1 La 0.000 0.000 0.000
Zn1 Zn 0.493 0.000 0.667
Zn2 Zn 0.993 0.500 0.667
Br1 Br 0.504 0.500 0.229

***

19.
# La6ZnBr8, optimized geometry, DFT PBE
# - Energy relative to the elements, uncorrected: -1.47 eV/atom
# - Symmetry: R-3, No. 148
data_La6ZnBr8
_chemical_formula_sum 'La6 Zn1 Br8'
_cell_length_a 11.834
_cell_length_b 11.834
_cell_length_c 11.834
_cell_angle_alpha 36.62
_cell_angle_beta 36.62
_cell_angle_gamma 36.62
_symmetry_space_group_name_H-M 'P 1'
_symmetry_Int_Tables_number 1
loop_
_symmetry_equiv_pos_as_xyz
'x,y,z'
loop_
_atom_site_label
_atom_site_type_symbol
_atom_site_fract_x
_atom_site_fract_y
_atom_site_fract_z
La1 La 0.122 0.447 0.771
La2 La 0.229 0.878 0.553
La3 La 0.447 0.771 0.122
La4 La 0.553 0.229 0.878
La5 La 0.771 0.122 0.447
La6 La 0.878 0.553 0.229
Zn1 Zn 0.500 0.500 0.500
Br1 Br 0.058 0.725 0.391
Br2 Br 0.167 0.167 0.167
Br3 Br 0.275 0.609 0.942
Br4 Br 0.391 0.058 0.725
Br5 Br 0.609 0.942 0.275
Br6 Br 0.725 0.391 0.058
Br7 Br 0.833 0.833 0.833
Br8 Br 0.942 0.275 0.609

***

20.
# La2ZnBr, optimized geometry, DFT PBE
# - Energy relative to the elements, uncorrected: -0.73 eV/atom
# - Symmetry: P6_3/mmc, No. 194
data_La2ZnBr
_chemical_formula_sum 'La4 Zn2 Br2'
_cell_length_a 4.127
_cell_length_b 4.127
_cell_length_c 16.519
_cell_angle_alpha 90.00
_cell_angle_beta 90.00
_cell_angle_gamma 120.00
_symmetry_space_group_name_H-M 'P 1'
_symmetry_Int_Tables_number 1
loop_
_symmetry_equiv_pos_as_xyz
'x,y,z'
loop_
_atom_site_label
_atom_site_type_symbol
_atom_site_fract_x
_atom_site_fract_y
_atom_site_fract_z
La1 La 0.333 0.667 0.117
La2 La 0.333 0.667 0.383
La3 La 0.667 0.333 0.617
La4 La 0.667 0.333 0.883
Zn1 Zn 0.000 0.000 0.000
Zn2 Zn 0.000 0.000 0.500
Br1 Br 0.333 0.667 0.750
Br2 Br 0.667 0.333 0.250